(1)
! PBE Pr12Cu6Pt, relaxed; values from VASP
&SYSTEM
  ibrav = 0, nat = 19, ntyp = 3
/
ATOMIC_SPECIES
Pr 140.91 Pr.upf
Cu 63.55 Cu.upf
Pt 195.08 Pt.upf
CELL_PARAMETERS angstrom
6.423 3.708 4.122
-6.423 3.708 4.122
0.000 -7.417 4.122
ATOMIC_POSITIONS angstrom
Pr -4.033 -4.071 6.727
Pr -5.542 1.457 5.639
Pr -1.447 -1.959 4.817
Pr 1.509 -5.528 5.639
Pr -0.973 2.232 4.817
Pr -2.420 0.274 7.548
Pr 2.420 -0.274 4.817
Pr 0.973 -2.232 7.548
Pr -1.509 5.528 6.727
Pr 1.447 1.959 7.548
Pr 5.542 -1.457 6.727
Pr 4.033 4.071 5.639
Cu -3.168 0.480 4.373
Cu 1.169 -2.983 4.373
Cu -1.999 -2.504 7.992
Cu 1.999 2.504 4.373
Cu -1.169 2.983 7.992
Cu 3.168 -0.480 7.992
Pt 0.000 0.000 0.000
! Density of states at the Fermi level (states/eV/f.u.): 27.5
! Spin magnetization (μB per atom): 0.00
! Density (g cm⁻³): 6.39
! Energy of formation (eV/atom): -0.024

***

(2)
! PBE PrCu2Pt4, relaxed; values from VASP
&SYSTEM
  ibrav = 0, nat = 7, ntyp = 3
/
ATOMIC_SPECIES
Pr 140.91 Pr.upf
Cu 63.55 Cu.upf
Pt 195.08 Pt.upf
CELL_PARAMETERS angstrom
4.281 -3.401 0.000
4.281 3.401 0.000
-3.111 0.000 4.131
ATOMIC_POSITIONS angstrom
Pr 0.000 0.000 0.000
Cu 3.503 0.000 1.029
Cu 1.948 0.000 3.102
Pt 1.645 2.050 1.248
Pt 3.807 2.050 2.883
Pt 1.645 -2.050 1.248
Pt 3.807 -2.050 2.883
! Density of states at the Fermi level (states/eV/f.u.): 5.8
! Spin magnetization (μB per atom): 0.00
! Excess energy over the best structure of this formula in the dataset (kcal/mol of atoms): 0.00
! Density (g cm⁻³): 14.47
! Energy of formation (eV/atom): -0.445

***

(3)
! PBE PrCu6Pt4, relaxed; values from VASP
&SYSTEM
  ibrav = 0, nat = 11, ntyp = 3
/
ATOMIC_SPECIES
Pr 140.91 Pr.upf
Cu 63.55 Cu.upf
Pt 195.08 Pt.upf
CELL_PARAMETERS angstrom
-3.091 3.091 4.744
3.091 -3.091 4.744
3.091 3.091 -4.744
ATOMIC_POSITIONS angstrom
Pr 0.000 0.000 0.000
Cu 3.091 0.000 0.000
Cu 0.940 -0.940 3.936
Cu 2.150 2.150 0.807
Cu 0.000 3.091 0.000
Cu -0.940 0.940 3.936
Cu 0.940 0.940 5.551
Pt 1.696 1.696 -1.732
Pt 1.395 -1.395 6.476
Pt 1.395 1.395 3.011
Pt -1.395 1.395 6.476
! Density of states at the Fermi level (states/eV/f.u.): 4.1
! Spin magnetization (μB per atom): 0.00
! Density (g cm⁻³): 11.93
! Energy of formation (eV/atom): -0.072

***

(4)
! PBE Pr2CuPt, relaxed; values from VASP
&SYSTEM
  ibrav = 0, nat = 4, ntyp = 3
/
ATOMIC_SPECIES
Pr 140.91 Pr.upf
Cu 63.55 Cu.upf
Pt 195.08 Pt.upf
CELL_PARAMETERS angstrom
1.694 0.978 10.156
-1.694 0.978 10.156
0.000 -1.956 10.156
ATOMIC_POSITIONS angstrom
Pr 0.000 0.000 2.761
Pr 0.000 0.000 27.705
Cu 0.000 0.000 15.233
Pt 0.000 0.000 0.000
! Density of states at the Fermi level (states/eV/f.u.): 3.1
! Spin magnetization (μB per atom): 0.00
! Density (g cm⁻³): 8.89
! Energy of formation (eV/atom): 0.224